Run one
Computed, not measured: a relaxed structure of NaHf3Mg at the PBE level of DFT.

a = 5.0026 Å, b = 5.0026 Å, c = 5.0026 Å
α = 90.00°, β = 90.00°, γ = 90.00°
Fractional positions:
Na1 0.0000 0.0000 0.0000
Hf1 0.0000 0.0000 0.5000
Hf2 0.0000 0.5000 0.0000
Hf3 0.5000 0.0000 0.0000
Mg1 0.5000 0.5000 0.5000

Results
The density of states at the Fermi level is 4.19 states/eV per cell. As for the crystal system: cubic.



Run two
Computed, not measured: a relaxed structure of NaHf3Mg at the PBE level of DFT.

a = 5.1575 Å, b = 5.1575 Å, c = 5.1575 Å
α = 90.00°, β = 90.00°, γ = 90.00°
Fractional positions:
Na1 0.0000 0.0000 0.0000
Hf1 0.0000 0.5000 0.5000
Hf2 0.5000 0.0000 0.5000
Hf3 0.5000 0.5000 0.0000
Mg1 0.5000 0.5000 0.5000

Results
The density of states at the Fermi level is 12.58 states/eV per cell. As for the crystal system: cubic.



Which of them is least stable? Easy: run one.



Run one
Computed, not measured: a relaxed structure of HfMg6Nb at the PBE level of DFT.

a = 5.0791 Å, b = 6.4262 Å, c = 6.4262 Å
α = 54.77°, β = 90.00°, γ = 90.00°
Fractional positions:
Hf1 0.0000 0.0000 0.0000
Mg1 0.0000 0.9997 0.5003
Mg2 0.0000 0.5003 0.9997
Mg3 0.5000 0.1517 0.1517
Mg4 0.5000 0.1626 0.6549
Mg5 0.5000 0.6417 0.6417
Mg6 0.5000 0.6549 0.1626
Nb1 0.0000 0.4968 0.4968

Results
The density of states at the Fermi level is 6.85 states/eV per cell. As for the crystal system: orthorhombic.



Run two
Computed, not measured: a relaxed structure of HfMg6Nb at the PBE level of DFT.

a = 4.9509 Å, b = 6.4289 Å, c = 6.4289 Å
α = 57.27°, β = 90.00°, γ = 90.00°
Fractional positions:
Hf1 0.0000 0.0000 0.0000
Mg1 0.0000 0.4723 0.9878
Mg2 0.0000 0.4740 0.4740
Mg3 0.0000 0.9878 0.4723
Mg4 0.5000 0.1197 0.6305
Mg5 0.5000 0.6293 0.6293
Mg6 0.5000 0.6305 0.1197
Nb1 0.5000 0.1057 0.1057

Results
The density of states at the Fermi level is 5.14 states/eV per cell. As for the crystal system: orthorhombic.



Which of them is least stable? Easy: run one.



Run one
Computed, not measured: a relaxed structure of HfMg14Nb at the PBE level of DFT.

a = 6.3649 Å, b = 6.3649 Å, c = 10.0252 Å
α = 90.00°, β = 90.00°, γ = 120.00°
Fractional positions:
Hf1 0.0000 0.0000 0.0000
Mg1 0.0001 0.5001 0.5000
Mg2 0.0063 0.5032 0.0000
Mg3 0.1609 0.3218 0.2547
Mg4 0.1609 0.3218 0.7453
Mg5 0.1609 0.8391 0.2547
Mg6 0.1609 0.8391 0.7453
Mg7 0.4968 0.5032 0.0000
Mg8 0.4968 0.9937 0.0000
Mg9 0.4999 0.9999 0.5000
Mg10 0.4999 0.5001 0.5000
Mg11 0.6667 0.3333 0.2449
Mg12 0.6667 0.3333 0.7551
Mg13 0.6782 0.8391 0.2547
Mg14 0.6782 0.8391 0.7453
Nb1 0.0000 0.0000 0.5000

Results
The density of states at the Fermi level is 13.00 states/eV per cell. As for the crystal system: hexagonal.



Run two
Computed, not measured: a relaxed structure of HfMg14Nb at the PBE level of DFT.

a = 10.2617 Å, b = 6.3965 Å, c = 6.3965 Å
α = 57.14°, β = 90.00°, γ = 90.00°
Fractional positions:
Hf1 0.0000 0.0000 0.0000
Mg1 0.0000 0.0011 0.4980
Mg2 0.0000 0.4980 0.0011
Mg3 0.2420 0.6522 0.6522
Mg4 0.2439 0.1630 0.6581
Mg5 0.2439 0.6581 0.1630
Mg6 0.2500 0.1559 0.1559
Mg7 0.5000 0.4968 0.4968
Mg8 0.5000 0.4978 0.9958
Mg9 0.5000 0.9954 0.9954
Mg10 0.5000 0.9958 0.4978
Mg11 0.7500 0.1559 0.1559
Mg12 0.7561 0.1630 0.6581
Mg13 0.7561 0.6581 0.1630
Mg14 0.7580 0.6522 0.6522
Nb1 0.0000 0.4976 0.4976

Results
The density of states at the Fermi level is 10.92 states/eV per cell. As for the crystal system: orthorhombic.



Which of them is least stable? Easy: run one.



Run one
Computed, not measured: a relaxed structure of HfMg3Ni at the PBE level of DFT.

a = 4.6832 Å, b = 4.6832 Å, c = 4.6832 Å
α = 90.00°, β = 90.00°, γ = 90.00°
Fractional positions:
Hf1 0.0000 0.0000 0.0000
Mg1 0.0000 0.5000 0.5000
Mg2 0.5000 0.0000 0.5000
Mg3 0.5000 0.5000 0.0000
Ni1 0.5000 0.5000 0.5000

Results
The density of states at the Fermi level is 1.74 states/eV per cell. As for the crystal system: cubic.



Run two
Computed, not measured: a relaxed structure of HfMg3Ni at the PBE level of DFT.

a = 5.5115 Å, b = 5.5115 Å, c = 5.5115 Å
α = 90.00°, β = 90.00°, γ = 90.00°
Fractional positions:
Hf1 0.0000 0.0000 0.0000
Mg1 0.0000 0.0000 0.5000
Mg2 0.0000 0.5000 0.0000
Mg3 0.5000 0.0000 0.0000
Ni1 0.5000 0.5000 0.5000

Results
The density of states at the Fermi level is 9.15 states/eV per cell. As for the crystal system: cubic.



Which of them is least stable? Easy: run two.



Run one
Computed, not measured: a relaxed structure of HfMg14Ni at the PBE level of DFT.

a = 6.2960 Å, b = 6.2960 Å, c = 9.9597 Å
α = 90.00°, β = 90.00°, γ = 120.00°
Fractional positions:
Hf1 0.0000 0.0000 0.0000
Mg1 0.0111 0.5055 0.0000
Mg2 0.1588 0.3177 0.2614
Mg3 0.1588 0.3177 0.7386
Mg4 0.1588 0.8412 0.2614
Mg5 0.1588 0.8412 0.7386
Mg6 0.4945 0.5055 0.0000
Mg7 0.4945 0.9889 0.0000
Mg8 0.5032 0.0064 0.5000
Mg9 0.5032 0.4968 0.5000
Mg10 0.6667 0.3333 0.2391
Mg11 0.6667 0.3333 0.7609
Mg12 0.6823 0.8412 0.2614
Mg13 0.6823 0.8412 0.7386
Mg14 0.9936 0.4968 0.5000
Ni1 0.0000 0.0000 0.5000

Results
The density of states at the Fermi level is 8.78 states/eV per cell. As for the crystal system: hexagonal.



Run two
Computed, not measured: a relaxed structure of HfMg14Ni at the PBE level of DFT.

a = 10.0705 Å, b = 6.3468 Å, c = 6.3468 Å
α = 57.53°, β = 90.00°, γ = 90.00°
Fractional positions:
Hf1 0.0000 0.0000 0.0000
Mg1 0.0000 0.0161 0.4897
Mg2 0.0000 0.4897 0.0161
Mg3 0.2158 0.6354 0.6354
Mg4 0.2398 0.1526 0.6514
Mg5 0.2398 0.6514 0.1526
Mg6 0.2536 0.1494 0.1494
Mg7 0.5000 0.4885 0.4885
Mg8 0.5000 0.4913 0.9823
Mg9 0.5000 0.9823 0.4913
Mg10 0.5000 0.9850 0.9850
Mg11 0.7464 0.1494 0.1494
Mg12 0.7602 0.1526 0.6514
Mg13 0.7602 0.6514 0.1526
Mg14 0.7842 0.6354 0.6354
Ni1 0.0000 0.4752 0.4752

Results
The density of states at the Fermi level is 7.29 states/eV per cell. As for the crystal system: orthorhombic.



Which of them is least stable? Easy: run one.



Run one
Computed, not measured: a relaxed structure of HfMgTiNi2 at the PBE level of DFT.

a = 4.6331 Å, b = 4.6331 Å, c = 4.7922 Å
α = 90.00°, β = 90.00°, γ = 90.00°
Fractional positions:
Hf1 0.0000 0.0000 0.0000
Mg1 0.5000 0.5000 0.5000
Ti1 0.0000 0.0000 0.5000
Ni1 0.0000 0.5000 0.0000
Ni2 0.5000 0.0000 0.0000

Results
The density of states at the Fermi level is 5.36 states/eV per cell. As for the crystal system: tetragonal.



Run two
Computed, not measured: a relaxed structure of HfMgTiNi2 at the PBE level of DFT.

a = 4.3307 Å, b = 4.3307 Å, c = 4.7715 Å
α = 90.00°, β = 90.00°, γ = 90.00°
Fractional positions:
Hf1 0.0000 0.0000 0.0000
Mg1 0.5000 0.5000 0.0000
Ti1 0.5000 0.5000 0.5000
Ni1 0.0000 0.5000 0.5000
Ni2 0.5000 0.0000 0.5000

Results
The density of states at the Fermi level is 3.99 states/eV per cell. As for the crystal system: tetragonal.



Which of them is least stable? Easy: run one.



Run one
Computed, not measured: a relaxed structure of HfMg6SnO8 at the PBE level of DFT.

a = 4.5021 Å, b = 4.5021 Å, c = 9.0157 Å
α = 90.00°, β = 90.00°, γ = 90.00°
Fractional positions:
Hf1 0.0000 0.0000 0.0000
Mg1 0.0000 0.0000 0.5000
Mg2 0.0000 0.5000 0.2690
Mg3 0.0000 0.5000 0.7310
Mg4 0.5000 0.0000 0.2690
Mg5 0.5000 0.0000 0.7310
Mg6 0.5000 0.5000 0.5000
Sn1 0.5000 0.5000 0.0000
O1 0.0000 0.0000 0.2595
O2 0.0000 0.0000 0.7405
O3 0.0000 0.5000 0.0000
O4 0.0000 0.5000 0.5000
O5 0.5000 0.0000 0.0000
O6 0.5000 0.0000 0.5000
O7 0.5000 0.5000 0.2751
O8 0.5000 0.5000 0.7249

Results
The density of states at the Fermi level is 3.64 states/eV per cell. As for the crystal system: tetragonal.



Run two
Computed, not measured: a relaxed structure of HfMg6SnO8 at the PBE level of DFT.

a = 4.3594 Å, b = 4.3594 Å, c = 10.2505 Å
α = 90.00°, β = 90.00°, γ = 90.00°
Fractional positions:
Hf1 0.0000 0.0000 0.0000
Mg1 0.0000 0.5000 0.2720
Mg2 0.0000 0.5000 0.7280
Mg3 0.5000 0.0000 0.2720
Mg4 0.5000 0.0000 0.7280
Mg5 0.5000 0.5000 0.0000
Mg6 0.5000 0.5000 0.5000
Sn1 0.0000 0.0000 0.5000
O1 0.0000 0.0000 0.2009
O2 0.0000 0.0000 0.7991
O3 0.0000 0.5000 0.0000
O4 0.0000 0.5000 0.5000
O5 0.5000 0.0000 0.0000
O6 0.5000 0.0000 0.5000
O7 0.5000 0.5000 0.2800
O8 0.5000 0.5000 0.7200

Results
The density of states at the Fermi level is 3.59 states/eV per cell. As for the crystal system: tetragonal.



Which of them is least stable? Easy: run one.



Run one
Computed, not measured: a relaxed structure of HfMg6TiO8 at the PBE level of DFT.

a = 4.3038 Å, b = 4.3038 Å, c = 8.8237 Å
α = 90.00°, β = 90.00°, γ = 90.00°
Fractional positions:
Hf1 0.0000 0.0000 0.0000
Mg1 0.0000 0.0000 0.5000
Mg2 0.0000 0.5000 0.2583
Mg3 0.0000 0.5000 0.7417
Mg4 0.5000 0.0000 0.2583
Mg5 0.5000 0.0000 0.7417
Mg6 0.5000 0.5000 0.5000
Ti1 0.5000 0.5000 0.0000
O1 0.0000 0.0000 0.2577
O2 0.0000 0.0000 0.7423
O3 0.0000 0.5000 0.0000
O4 0.0000 0.5000 0.5000
O5 0.5000 0.0000 0.0000
O6 0.5000 0.0000 0.5000
O7 0.5000 0.5000 0.2606
O8 0.5000 0.5000 0.7394

Results
The density of states at the Fermi level is 2.11 states/eV per cell. As for the crystal system: tetragonal.



Run two
Computed, not measured: a relaxed structure of HfMg6TiO8 at the PBE level of DFT.

a = 4.3739 Å, b = 4.3739 Å, c = 8.7502 Å
α = 90.00°, β = 90.00°, γ = 90.00°
Fractional positions:
Hf1 0.0000 0.0000 0.0000
Mg1 0.0000 0.5000 0.2590
Mg2 0.0000 0.5000 0.7410
Mg3 0.5000 0.0000 0.2590
Mg4 0.5000 0.0000 0.7410
Mg5 0.5000 0.5000 0.0000
Mg6 0.5000 0.5000 0.5000
Ti1 0.0000 0.0000 0.5000
O1 0.0000 0.0000 0.2490
O2 0.0000 0.0000 0.7510
O3 0.0000 0.5000 0.0000
O4 0.0000 0.5000 0.5000
O5 0.5000 0.0000 0.0000
O6 0.5000 0.0000 0.5000
O7 0.5000 0.5000 0.2518
O8 0.5000 0.5000 0.7482

Results
The density of states at the Fermi level is 7.01 states/eV per cell. As for the crystal system: tetragonal.



Which of them is least stable? Easy: run two.